Entry 1:
# LaCePm2Dy2 | Alexandria via LeMat-Bulk | PBE | optimized geometry
data_LaCePm2Dy2
_space_group_name_H-M_alt 'P n n m'
_space_group_IT_number 58
_space_group_name_Hall '-P 2 2n'
_cell_length_a 6.649
_cell_length_b 17.796
_cell_length_c 3.377
_cell_angle_alpha 90.00
_cell_angle_beta 90.00
_cell_angle_gamma 90.00
loop_
_atom_site_label
_atom_site_type_symbol
_atom_site_fract_x
_atom_site_fract_y
_atom_site_fract_z
_atom_site_occupancy
La1 La 0.000 0.000 0.000 1
Ce1 Ce 0.000 0.500 0.000 1
Pm1 Pm 0.213 0.350 0.500 1
Dy1 Dy 0.220 0.180 0.000 1
# M_tot: 0.76 μB per formula unit
# N(E_F): 2.0662 states/eV/atom
# E_tot: -4.650 eV/atom
# E_form: 278 meV per atom
# Density: 7.4 g cm⁻³

Entry 2:
# La6CePmDy2 | Alexandria via LeMat-Bulk | PBE | optimized geometry
data_La6CePmDy2
_space_group_name_H-M_alt 'C 1 2/m 1'
_space_group_IT_number 12
_space_group_name_Hall '-C 2y'
_cell_length_a 12.288
_cell_length_b 6.857
_cell_length_c 9.018
_cell_angle_alpha 90.00
_cell_angle_beta 110.08
_cell_angle_gamma 90.00
loop_
_atom_site_label
_atom_site_type_symbol
_atom_site_fract_x
_atom_site_fract_y
_atom_site_fract_z
_atom_site_occupancy
La1 La 0.147 0.240 0.309 1
La2 La 0.163 0.000 0.915 1
Ce1 Ce 0.000 0.000 0.500 1
Pm1 Pm 0.000 0.500 0.000 1
Dy1 Dy 0.102 0.500 0.678 1
# M_tot: 1.04 μB per formula unit
# N(E_F): 2.3369 states/eV/atom
# E_tot: -4.725 eV/atom
# E_form: 221 meV per atom
# Density: 6.7 g cm⁻³

Entry 3:
# LaCePrDy | Alexandria via LeMat-Bulk | PBE | optimized geometry
data_LaCePrDy
_space_group_name_H-M_alt 'F -4 3 m'
_space_group_IT_number 216
_space_group_name_Hall 'F -4 2 3'
_cell_length_a 8.200
_cell_length_b 8.200
_cell_length_c 8.200
_cell_angle_alpha 90.00
_cell_angle_beta 90.00
_cell_angle_gamma 90.00
loop_
_atom_site_label
_atom_site_type_symbol
_atom_site_fract_x
_atom_site_fract_y
_atom_site_fract_z
_atom_site_occupancy
La1 La 0.000 0.000 0.000 1
Ce1 Ce 0.250 0.250 0.750 1
Pr1 Pr 0.000 0.000 0.500 1
Dy1 Dy 0.250 0.250 0.250 1
# M_tot: 3.23 μB per formula unit
# N(E_F): 2.6699 states/eV/atom
# E_tot: -4.863 eV/atom
# E_form: 198 meV per atom
# Density: 7.0 g cm⁻³